A relaxed Ca4Tl7Hg crystal, computed with PBE.

a b c (Å): 5.6786 7.5794 9.0428
angles (deg): 111.43 91.02 90.32
Atoms (fractional coordinates):
Ca (0.2365, 0.4089, 0.3027)
Ca (0.2441, 0.8985, 0.2689)
Ca (0.7559, 0.1015, 0.7311)
Ca (0.7635, 0.5911, 0.6973)
Tl (0.2520, 0.0659, 0.9535)
Tl (0.2524, 0.2874, 0.6291)
Tl (0.2573, 0.7991, 0.6073)
Tl (0.5000, 0.5000, 0.0000)
Tl (0.7427, 0.2009, 0.3927)
Tl (0.7476, 0.7126, 0.3709)
Tl (0.7480, 0.9341, 0.0465)
Hg (0.0000, 0.5000, 0.0000)

Calculated values
calculated total energy = -27.87 eV per formula unit
DFT formation energy = -0.250 eV/atom
crystal system = triclinic

---

A relaxed Ca6Tl5Hg crystal, computed with PBE.

a b c (Å): 5.4800 7.7218 8.6544
angles (deg): 90.00 107.64 90.00
Atoms (fractional coordinates):
Ca (0.0000, 0.2468, 0.0000)
Ca (0.0000, 0.7532, 0.0000)
Ca (0.3360, 0.2495, 0.6709)
Ca (0.3360, 0.7505, 0.6709)
Ca (0.6640, 0.2495, 0.3291)
Ca (0.6640, 0.7505, 0.3291)
Tl (0.1673, 0.0000, 0.3373)
Tl (0.1672, 0.5000, 0.3354)
Tl (0.5000, 0.5000, 0.0000)
Tl (0.8327, 0.0000, 0.6627)
Tl (0.8328, 0.5000, 0.6646)
Hg (0.5000, 0.0000, 0.0000)

Calculated values
calculated total energy = -29.67 eV per formula unit
DFT formation energy = -0.461 eV/atom
crystal system = monoclinic

---

A relaxed CaTl2Hg6 crystal, computed with PBE.

a b c (Å): 6.2016 6.2016 6.3335
angles (deg): 94.01 94.01 95.59
Atoms (fractional coordinates):
Ca (0.0000, 0.0000, 0.0000)
Tl (0.3410, 0.3410, 0.3292)
Tl (0.6590, 0.6590, 0.6708)
Hg (0.1623, 0.4978, 0.8308)
Hg (0.1655, 0.8345, 0.5000)
Hg (0.4978, 0.1623, 0.8308)
Hg (0.5022, 0.8377, 0.1692)
Hg (0.8345, 0.1655, 0.5000)
Hg (0.8377, 0.5022, 0.1692)

Calculated values
calculated total energy = -9.99 eV per formula unit
DFT formation energy = -0.161 eV/atom
crystal system = monoclinic

---

A relaxed CaTlHg crystal, computed with PBE.

a b c (Å): 5.3395 3.9464 8.2829
angles (deg): 90.00 106.68 90.00
Atoms (fractional coordinates):
Ca (0.1759, 0.0000, 0.3324)
Ca (0.8241, 0.0000, 0.6676)
Tl (0.0000, 0.5000, 0.0000)
Tl (0.5000, 0.0000, 0.0000)
Hg (0.3207, 0.5000, 0.6635)
Hg (0.6793, 0.5000, 0.3365)

Calculated values
calculated total energy = -5.76 eV per formula unit
DFT formation energy = -0.365 eV/atom
crystal system = monoclinic

---

A relaxed CaTl3Hg2 crystal, computed with PBE.

a b c (Å): 5.8857 5.8857 10.3518
angles (deg): 92.54 92.54 103.82
Atoms (fractional coordinates):
Ca (0.1042, 0.8958, 0.7500)
Ca (0.8958, 0.1042, 0.2500)
Tl (0.1825, 0.3355, 0.9847)
Tl (0.3355, 0.1825, 0.4847)
Tl (0.4761, 0.5239, 0.7500)
Tl (0.5239, 0.4761, 0.2500)
Tl (0.6645, 0.8175, 0.5153)
Tl (0.8175, 0.6645, 0.0153)
Hg (0.0897, 0.6463, 0.3757)
Hg (0.3537, 0.9103, 0.1243)
Hg (0.6463, 0.0897, 0.8757)
Hg (0.9103, 0.3537, 0.6243)

Calculated values
calculated total energy = -10.55 eV per formula unit
DFT formation energy = -0.140 eV/atom
crystal system = monoclinic

---

A relaxed CaTl7Hg4 crystal, computed with PBE.

a b c (Å): 7.3632 7.3632 10.1101
angles (deg): 117.37 117.37 51.58
Atoms (fractional coordinates):
Ca (0.0000, 0.0000, 0.0000)
Tl (0.0058, 0.0058, 0.3429)
Tl (0.2616, 0.2616, 0.0064)
Tl (0.2664, 0.2664, 0.3503)
Tl (0.5000, 0.5000, 0.0000)
Tl (0.7336, 0.7336, 0.6497)
Tl (0.7383, 0.7383, 0.9936)
Tl (0.9942, 0.9942, 0.6571)
Hg (0.2525, 0.2525, 0.6750)
Hg (0.4941, 0.4941, 0.6690)
Hg (0.5059, 0.5059, 0.3310)
Hg (0.7475, 0.7475, 0.3250)

Calculated values
calculated total energy = -19.96 eV per formula unit
DFT formation energy = -0.016 eV/atom
crystal system = monoclinic

---

A relaxed CaTlHg crystal, computed with PBE.

a b c (Å): 4.5827 4.5827 8.2235
angles (deg): 90.00 90.00 90.00
Atoms (fractional coordinates):
Ca (0.2500, 0.2500, 0.1710)
Ca (0.7500, 0.7500, 0.8290)
Tl (0.2500, 0.7500, 0.5000)
Tl (0.7500, 0.2500, 0.5000)
Hg (0.2500, 0.2500, 0.7885)
Hg (0.7500, 0.7500, 0.2115)

Calculated values
calculated total energy = -5.77 eV per formula unit
DFT formation energy = -0.367 eV/atom
crystal system = tetragonal

---

A relaxed CaTlHg crystal, computed with PBE.

a b c (Å): 5.1400 5.1400 3.6075
angles (deg): 90.00 90.00 120.00
Atoms (fractional coordinates):
Ca (0.0000, 0.0000, 0.0000)
Tl (0.3333, 0.6667, 0.5000)
Hg (0.6667, 0.3333, 0.5000)

Calculated values
calculated total energy = -5.76 eV per formula unit
DFT formation energy = -0.365 eV/atom
crystal system = hexagonal

---

A relaxed Ca2Tl3Hg crystal, computed with PBE.

a b c (Å): 10.4242 9.7335 6.3631
angles (deg): 77.62 65.79 36.60
Atoms (fractional coordinates):
Ca (0.2484, 0.7516, 0.7516)
Ca (0.2500, 0.2500, 0.2500)
Ca (0.7500, 0.7500, 0.7500)
Ca (0.7516, 0.2484, 0.2484)
Tl (0.1614, 0.6694, 0.3306)
Tl (0.3312, 0.3312, 0.6688)
Tl (0.3306, 0.8386, 0.1614)
Tl (0.6694, 0.1614, 0.8386)
Tl (0.6688, 0.6688, 0.3312)
Tl (0.8386, 0.3306, 0.6694)
Hg (0.1673, 0.1673, 0.8327)
Hg (0.8327, 0.8327, 0.1673)

Calculated values
calculated total energy = -13.19 eV per formula unit
DFT formation energy = -0.297 eV/atom
crystal system = orthorhombic

---

A relaxed CaTl2Hg8 crystal, computed with PBE.

a b c (Å): 8.6563 8.6563 7.6020
angles (deg): 108.52 108.52 33.66
Atoms (fractional coordinates):
Ca (0.0000, 0.0000, 0.0000)
Tl (0.2774, 0.2774, 0.3575)
Tl (0.7226, 0.7226, 0.6425)
Hg (0.0895, 0.0895, 0.4520)
Hg (0.1732, 0.1732, 0.8977)
Hg (0.3570, 0.3570, 0.8435)
Hg (0.4705, 0.4705, 0.2721)
Hg (0.5295, 0.5295, 0.7279)
Hg (0.6430, 0.6430, 0.1565)
Hg (0.8268, 0.8268, 0.1023)
Hg (0.9105, 0.9105, 0.5480)

Calculated values
calculated total energy = -10.76 eV per formula unit
DFT formation energy = -0.146 eV/atom
crystal system = monoclinic

---

A relaxed Ca4TlHg7 crystal, computed with PBE.

a b c (Å): 6.5385 7.1496 7.6885
angles (deg): 75.28 82.27 69.64
Atoms (fractional coordinates):
Ca (0.1059, 0.2093, 0.3027)
Ca (0.3254, 0.6471, 0.3076)
Ca (0.6746, 0.3529, 0.6924)
Ca (0.8941, 0.7907, 0.6973)
Tl (0.5000, 0.0000, 0.0000)
Hg (0.0000, 0.0000, 0.0000)
Hg (0.1873, 0.3180, 0.6611)
Hg (0.2621, 0.5050, 0.9698)
Hg (0.3683, 0.8476, 0.6326)
Hg (0.6317, 0.1524, 0.3674)
Hg (0.7379, 0.4950, 0.0302)
Hg (0.8127, 0.6820, 0.3389)

Calculated values
calculated total energy = -17.02 eV per formula unit
DFT formation energy = -0.378 eV/atom
crystal system = triclinic

---

A relaxed CaTl4Hg2 crystal, computed with PBE.

a b c (Å): 7.6213 7.6213 7.6213
angles (deg): 132.49 132.49 69.46
Atoms (fractional coordinates):
Ca (0.0000, 0.0000, 0.0000)
Tl (0.0000, 0.5000, 0.5000)
Tl (0.2500, 0.7500, 0.5000)
Tl (0.5000, 0.0000, 0.5000)
Tl (0.7500, 0.2500, 0.5000)
Hg (0.3578, 0.3578, 0.0000)
Hg (0.6422, 0.6422, 0.0000)

Calculated values
calculated total energy = -11.71 eV per formula unit
DFT formation energy = 0.051 eV/atom
crystal system = tetragonal

---

A relaxed Ca2Tl2Hg crystal, computed with PBE.

a b c (Å): 6.3198 6.3198 13.1134
angles (deg): 109.16 109.16 36.79
Atoms (fractional coordinates):
Ca (0.0194, 0.0194, 0.1829)
Ca (0.1841, 0.1841, 0.6057)
Ca (0.8159, 0.8159, 0.3943)
Ca (0.9806, 0.9806, 0.8171)
Tl (0.3510, 0.3510, 0.9729)
Tl (0.4520, 0.4520, 0.6030)
Tl (0.5480, 0.5480, 0.3970)
Tl (0.6490, 0.6490, 0.0271)
Hg (0.3004, 0.3004, 0.2027)
Hg (0.6996, 0.6996, 0.7973)

Calculated values
calculated total energy = -10.87 eV per formula unit
DFT formation energy = -0.367 eV/atom
crystal system = monoclinic

---

A relaxed CaTl15Hg4 crystal, computed with PBE.

a b c (Å): 4.8723 4.8723 24.5929
angles (deg): 90.00 90.00 90.00
Atoms (fractional coordinates):
Ca (0.0000, 0.0000, 0.0000)
Tl (0.0000, 0.5000, 0.1001)
Tl (0.0000, 0.5000, 0.2997)
Tl (0.0000, 0.5000, 0.5000)
Tl (0.0000, 0.5000, 0.7003)
Tl (0.0000, 0.5000, 0.8999)
Tl (0.5000, 0.0000, 0.1001)
Tl (0.5000, 0.0000, 0.2997)
Tl (0.5000, 0.0000, 0.5000)
Tl (0.5000, 0.0000, 0.7003)
Tl (0.5000, 0.0000, 0.8999)
Tl (0.5000, 0.5000, 0.0000)
Tl (0.5000, 0.5000, 0.1991)
Tl (0.5000, 0.5000, 0.4001)
Tl (0.5000, 0.5000, 0.5999)
Tl (0.5000, 0.5000, 0.8009)
Hg (0.0000, 0.0000, 0.1970)
Hg (0.0000, 0.0000, 0.3992)
Hg (0.0000, 0.0000, 0.6008)
Hg (0.0000, 0.0000, 0.8030)

Calculated values
calculated total energy = -39.17 eV per formula unit
DFT formation energy = -0.023 eV/atom
crystal system = tetragonal

---

A relaxed CaTlHg crystal, computed with PBE.

a b c (Å): 6.3693 6.3693 6.3693
angles (deg): 145.41 145.41 49.72
Atoms (fractional coordinates):
Ca (0.0000, 0.0000, 0.0000)
Tl (0.3158, 0.3158, 0.0000)
Hg (0.6561, 0.6561, 0.0000)

Calculated values
calculated total energy = -5.74 eV per formula unit
DFT formation energy = -0.356 eV/atom
crystal system = tetragonal

---

A relaxed Ca2TlHg6 crystal, computed with PBE.

a b c (Å): 8.8333 8.8333 3.5334
angles (deg): 90.20 90.20 60.00
Atoms (fractional coordinates):
Ca (0.1666, 0.1666, 0.0001)
Ca (0.8334, 0.8334, 0.9999)
Tl (0.5000, 0.5000, 0.0000)
Hg (0.1664, 0.5000, 0.5056)
Hg (0.1665, 0.8335, 0.5000)
Hg (0.5000, 0.1664, 0.5056)
Hg (0.5000, 0.8336, 0.4944)
Hg (0.8335, 0.1665, 0.5000)
Hg (0.8336, 0.5000, 0.4944)

Calculated values
calculated total energy = -10.79 eV per formula unit
DFT formation energy = -0.290 eV/atom
crystal system = monoclinic

---

A relaxed Ca3Tl2Hg4 crystal, computed with PBE.

a b c (Å): 6.2383 6.2383 9.4791
angles (deg): 114.80 114.80 47.79
Atoms (fractional coordinates):
Ca (0.0000, 0.0000, 0.0000)
Ca (0.3377, 0.3377, 0.3291)
Ca (0.6623, 0.6623, 0.6709)
Tl (0.3854, 0.3854, 0.7213)
Tl (0.6146, 0.6146, 0.2787)
Hg (0.0668, 0.0668, 0.4018)
Hg (0.2872, 0.2872, 0.9580)
Hg (0.7128, 0.7128, 0.0420)
Hg (0.9332, 0.9332, 0.5982)

Calculated values
calculated total energy = -15.51 eV per formula unit
DFT formation energy = -0.396 eV/atom
crystal system = monoclinic

---

A relaxed CaTl2Hg crystal, computed with PBE.

a b c (Å): 6.2155 6.2155 4.9655
angles (deg): 113.15 113.15 41.12
Atoms (fractional coordinates):
Ca (0.0000, 0.0000, 0.0000)
Tl (0.2405, 0.2405, 0.7404)
Tl (0.7595, 0.7595, 0.2596)
Hg (0.5000, 0.5000, 0.5000)

Calculated values
calculated total energy = -8.04 eV per formula unit
DFT formation energy = -0.250 eV/atom
crystal system = monoclinic

---

A relaxed CaTl2Hg crystal, computed with PBE.

a b c (Å): 5.2202 5.2202 8.1911
angles (deg): 90.00 90.00 90.00
Atoms (fractional coordinates):
Ca (0.2500, 0.2500, 0.2289)
Ca (0.7500, 0.7500, 0.7711)
Tl (0.2500, 0.2500, 0.7577)
Tl (0.2500, 0.7500, 0.5000)
Tl (0.7500, 0.2500, 0.5000)
Tl (0.7500, 0.7500, 0.2423)
Hg (0.2500, 0.7500, 0.0000)
Hg (0.7500, 0.2500, 0.0000)

Calculated values
calculated total energy = -8.12 eV per formula unit
DFT formation energy = -0.272 eV/atom
crystal system = tetragonal

---

A relaxed Ca2Tl7Hg2 crystal, computed with PBE.

a b c (Å): 6.5256 6.5256 7.9707
angles (deg): 98.15 98.15 97.25
Atoms (fractional coordinates):
Ca (0.2081, 0.7919, 0.0000)
Ca (0.7919, 0.2081, 0.0000)
Tl (0.0122, 0.3954, 0.6778)
Tl (0.1132, 0.1132, 0.3352)
Tl (0.3954, 0.0122, 0.6778)
Tl (0.5000, 0.5000, 0.5000)
Tl (0.6046, 0.9878, 0.3222)
Tl (0.8868, 0.8868, 0.6647)
Tl (0.9878, 0.6046, 0.3222)
Hg (0.3284, 0.3284, 0.0426)
Hg (0.6716, 0.6716, 0.9574)

Calculated values
calculated total energy = -22.86 eV per formula unit
DFT formation energy = -0.153 eV/atom
crystal system = monoclinic

---

A relaxed Ca3Tl3Hg crystal, computed with PBE.

a b c (Å): 7.5386 7.5386 7.4089
angles (deg): 90.00 90.00 88.78
Atoms (fractional coordinates):
Ca (0.0000, 0.0000, 0.2479)
Ca (0.0000, 0.0000, 0.7521)
Ca (0.0003, 0.4997, 0.2525)
Ca (0.9997, 0.5003, 0.7475)
Ca (0.4997, 0.0003, 0.2525)
Ca (0.5003, 0.9997, 0.7475)
Tl (0.2803, 0.2803, 0.9993)
Tl (0.2861, 0.7139, 0.0000)
Tl (0.3293, 0.6707, 0.5000)
Tl (0.6707, 0.3293, 0.5000)
Tl (0.7139, 0.2861, 0.0000)
Tl (0.7197, 0.7197, 0.0007)
Hg (0.2454, 0.2454, 0.5004)
Hg (0.7546, 0.7546, 0.4996)

Calculated values
calculated total energy = -15.55 eV per formula unit
DFT formation energy = -0.306 eV/atom
crystal system = monoclinic

---

A relaxed Ca2Tl2Hg crystal, computed with PBE.

a b c (Å): 9.2906 9.2906 3.7114
angles (deg): 90.00 90.00 152.93
Atoms (fractional coordinates):
Ca (0.0996, 0.9004, 0.0000)
Ca (0.9004, 0.0996, 0.0000)
Tl (0.3069, 0.6931, 0.5000)
Tl (0.6931, 0.3069, 0.5000)
Hg (0.5000, 0.5000, 0.5000)

Calculated values
calculated total energy = -10.65 eV per formula unit
DFT formation energy = -0.323 eV/atom
crystal system = orthorhombic

---

A relaxed Ca5Tl6Hg crystal, computed with PBE.

a b c (Å): 9.4310 9.4310 5.3424
angles (deg): 106.31 106.31 118.78
Atoms (fractional coordinates):
Ca (0.0000, 0.0000, 0.0000)
Ca (0.1691, 0.8309, 0.5000)
Ca (0.3423, 0.6577, 0.0000)
Ca (0.6577, 0.3423, 0.0000)
Ca (0.8309, 0.1691, 0.5000)
Tl (0.0848, 0.4174, 0.2511)
Tl (0.2482, 0.2482, 0.7471)
Tl (0.4174, 0.0848, 0.2511)
Tl (0.5826, 0.9152, 0.7489)
Tl (0.7518, 0.7518, 0.2529)
Tl (0.9152, 0.5826, 0.7489)
Hg (0.5000, 0.5000, 0.5000)

Calculated values
calculated total energy = -28.77 eV per formula unit
DFT formation energy = -0.356 eV/atom
crystal system = monoclinic